A.
Below is crystalline MgAu2Se at its relaxed geometry, with properties calculated at the PBE level.

- total moment (μB/f.u.) = 0.000

a b c (Å): 3.0981 3.0981 27.6570
angles (deg): 90.00 90.00 120.00
Space group R-3m (No. 166, hexagonal axes)
Asymmetric unit:
Mg 0.0000 0.0000 0.0000 x3
Au 0.0000 0.0000 0.2570 x6
Se 0.0000 0.0000 0.5000 x3

---

B.
Below is crystalline MgAu2Se at its relaxed geometry, with properties calculated at the PBE level.

- total moment (μB/f.u.) = 0.000

a b c (Å): 4.253 4.391 8.210
angles (deg): 90.00 90.00 90.00
Space group Imm2 (No. 44)
Asymmetric unit:
Mg 0.000 0.000 0.000 x2
Au 0.000 0.000 0.506 x2
Au 0.000 0.500 0.267 x2
Se 0.000 0.500 0.729 x2

---

A is the least stable structure shown above.